# 1
Here is an optimized crystal structure of MnBe3Pt from Alexandria. Energies are from PBE.

Structure (CIF):
```
data_MnBe3Pt
_chemical_formula_sum 'Mn1 Be3 Pt1'
_cell_length_a 3.8957
_cell_length_b 3.8957
_cell_length_c 3.8957
_cell_angle_alpha 90.00
_cell_angle_beta 90.00
_cell_angle_gamma 90.00
_symmetry_space_group_name_H-M 'P 1'
_symmetry_Int_Tables_number 1
_symmetry_space_group_name_Hall 'P 1'
loop_
_atom_site_label
_atom_site_fract_x
_atom_site_fract_y
_atom_site_fract_z
Mn1 0.0000 0.0000 0.0000
Be1 0.0000 0.0000 0.5000
Be2 0.0000 0.5000 0.0000
Be3 0.5000 0.0000 0.0000
Pt1 0.5000 0.5000 0.5000
```

total magnetic moment: 0.214 μB per atom
space-group type: Pm-3m
DFT formation energy: 804 meV/atom
relative energy among the computed polymorphs: 2.28 eV per formula unit

# 2
Here is an optimized crystal structure of K2BaMoPt from Alexandria. Energies are from PBE.

Structure (CIF):
```
data_K2BaMoPt
_chemical_formula_sum 'K2 Ba1 Mo1 Pt1'
_cell_length_a 6.0147
_cell_length_b 6.0147
_cell_length_c 5.9310
_cell_angle_alpha 90.00
_cell_angle_beta 90.00
_cell_angle_gamma 90.00
_symmetry_space_group_name_H-M 'P 1'
_symmetry_Int_Tables_number 1
_symmetry_space_group_name_Hall 'P 1'
loop_
_atom_site_label
_atom_site_fract_x
_atom_site_fract_y
_atom_site_fract_z
K1 0.0000 0.5000 0.0000
K2 0.5000 0.0000 0.0000
Ba1 0.0000 0.0000 0.5000
Mo1 0.0000 0.0000 0.0000
Pt1 0.5000 0.5000 0.5000
```

total magnetic moment: 0.768 μB per atom
space-group type: P4/mmm
DFT formation energy: 1363 meV/atom

# 3
Here is an optimized crystal structure of RbTiAsO6 from Alexandria. Energies are from PBE.

Structure (CIF):
```
data_RbTiAsO6
_chemical_formula_sum 'Rb2 Ti2 As2 O12'
_cell_length_a 5.3187
_cell_length_b 5.3187
_cell_length_c 11.9101
_cell_angle_alpha 90.00
_cell_angle_beta 90.00
_cell_angle_gamma 120.00
_symmetry_space_group_name_H-M 'P 1'
_symmetry_Int_Tables_number 1
_symmetry_space_group_name_Hall 'P 1'
loop_
_atom_site_label
_atom_site_fract_x
_atom_site_fract_y
_atom_site_fract_z
Rb1 0.0000 0.0000 0.0000
Rb2 0.0000 0.0000 0.5000
Ti1 0.3333 0.6667 0.2500
Ti2 0.6667 0.3333 0.7500
As1 0.3333 0.6667 0.7500
As2 0.6667 0.3333 0.2500
O1 0.0160 0.4152 0.6645
O2 0.0160 0.6007 0.8355
O3 0.3993 0.4152 0.8355
O4 0.3993 0.9840 0.6645
O5 0.4152 0.0160 0.1645
O6 0.4152 0.3993 0.3355
O7 0.5848 0.6007 0.6645
O8 0.5848 0.9840 0.8355
O9 0.6007 0.0160 0.3355
O10 0.6007 0.5848 0.1645
O11 0.9840 0.3993 0.1645
O12 0.9840 0.5848 0.3355
```

total magnetic moment: 0.224 μB per atom
space-group type: P-31c
uncorrected formation energy: -1.554 eV per atom

# 4
Here is an optimized crystal structure of BaGeS3 from Alexandria. Energies are from PBE.

Structure (CIF):
```
data_BaGeS3
_chemical_formula_sum 'Ba1 Ge1 S3'
_cell_length_a 5.7513
_cell_length_b 5.7513
_cell_length_c 5.7513
_cell_angle_alpha 90.00
_cell_angle_beta 90.00
_cell_angle_gamma 90.00
_symmetry_space_group_name_H-M 'P 1'
_symmetry_Int_Tables_number 1
_symmetry_space_group_name_Hall 'P 1'
loop_
_atom_site_label
_atom_site_fract_x
_atom_site_fract_y
_atom_site_fract_z
Ba1 0.0000 0.0000 0.0000
Ge1 0.5000 0.5000 0.5000
S1 0.0000 0.0000 0.5000
S2 0.0000 0.5000 0.0000
S3 0.5000 0.0000 0.0000
```

total magnetic moment: 0.400 μB per atom
space-group type: Pm-3m
uncorrected formation energy: 0.594 eV per atom
relative energy among the computed polymorphs: 8.66 eV per formula unit

# 5
Here is an optimized crystal structure of Nb2TcPSe from Alexandria. Energies are from PBE.

Structure (CIF):
```
data_Nb2TcPSe
_chemical_formula_sum 'Nb2 Tc1 P1 Se1'
_cell_length_a 4.9620
_cell_length_b 4.9620
_cell_length_c 4.3328
_cell_angle_alpha 90.00
_cell_angle_beta 90.00
_cell_angle_gamma 90.00
_symmetry_space_group_name_H-M 'P 1'
_symmetry_Int_Tables_number 1
_symmetry_space_group_name_Hall 'P 1'
loop_
_atom_site_label
_atom_site_fract_x
_atom_site_fract_y
_atom_site_fract_z
Nb1 0.0000 0.5000 0.0000
Nb2 0.5000 0.0000 0.0000
Tc1 0.0000 0.0000 0.0000
P1 0.0000 0.0000 0.5000
Se1 0.5000 0.5000 0.5000
```

total magnetic moment: 0.000 μB per atom
space-group type: P4/mmm
uncorrected formation energy: 0.673 eV per atom

# 6
Here is an optimized crystal structure of TmThTcAg from Alexandria. Energies are from PBE.

Structure (CIF):
```
data_TmThTcAg
_chemical_formula_sum 'Tm1 Th1 Tc1 Ag1'
_cell_length_a 5.0447
_cell_length_b 5.0447
_cell_length_c 5.0447
_cell_angle_alpha 60.00
_cell_angle_beta 60.00
_cell_angle_gamma 60.00
_symmetry_space_group_name_H-M 'P 1'
_symmetry_Int_Tables_number 1
_symmetry_space_group_name_Hall 'P 1'
loop_
_atom_site_label
_atom_site_fract_x
_atom_site_fract_y
_atom_site_fract_z
Tm1 0.0000 0.0000 0.0000
Th1 0.5000 0.5000 0.5000
Tc1 0.7500 0.7500 0.7500
Ag1 0.2500 0.2500 0.2500
```

total magnetic moment: 0.000 μB per atom
space-group type: F-43m
DFT formation energy: -131 meV/atom

# 7
Here is an optimized crystal structure of Pm12CuSi6 from Alexandria. Energies are from PBE.

Structure (CIF):
```
data_Pm12CuSi6
_chemical_formula_sum 'Pm12 Cu1 Si6'
_cell_length_a 8.8007
_cell_length_b 8.8007
_cell_length_c 8.8007
_cell_angle_alpha 109.47
_cell_angle_beta 109.47
_cell_angle_gamma 109.47
_symmetry_space_group_name_H-M 'P 1'
_symmetry_Int_Tables_number 1
_symmetry_space_group_name_Hall 'P 1'
loop_
_atom_site_label
_atom_site_fract_x
_atom_site_fract_y
_atom_site_fract_z
Pm1 0.1063 0.2941 0.8123
Pm2 0.1877 0.4818 0.2941
Pm3 0.1877 0.8937 0.7059
Pm4 0.2941 0.1877 0.4818
Pm5 0.2941 0.8123 0.1063
Pm6 0.4818 0.2941 0.1877
Pm7 0.5182 0.7059 0.8123
Pm8 0.7059 0.1877 0.8937
Pm9 0.7059 0.8123 0.5182
Pm10 0.8123 0.1063 0.2941
Pm11 0.8123 0.5182 0.7059
Pm12 0.8937 0.7059 0.1877
Cu1 0.0000 0.0000 0.0000
Si1 0.1155 0.5000 0.6155
Si2 0.3845 0.8845 0.5000
Si3 0.5000 0.3845 0.8845
Si4 0.5000 0.6155 0.1155
Si5 0.6155 0.1155 0.5000
Si6 0.8845 0.5000 0.3845
```

total magnetic moment: 0.000 μB per atom
space-group type: Im-3
uncorrected formation energy: -0.427 eV per atom

# 8
Here is an optimized crystal structure of LaEuTlZn from Alexandria. Energies are from PBE.

Structure (CIF):
```
data_LaEuTlZn
_chemical_formula_sum 'La1 Eu1 Tl1 Zn1'
_cell_length_a 5.4975
_cell_length_b 5.4975
_cell_length_c 5.4975
_cell_angle_alpha 60.00
_cell_angle_beta 60.00
_cell_angle_gamma 60.00
_symmetry_space_group_name_H-M 'P 1'
_symmetry_Int_Tables_number 1
_symmetry_space_group_name_Hall 'P 1'
loop_
_atom_site_label
_atom_site_fract_x
_atom_site_fract_y
_atom_site_fract_z
La1 0.0000 0.0000 0.0000
Eu1 0.5000 0.5000 0.5000
Tl1 0.7500 0.7500 0.7500
Zn1 0.2500 0.2500 0.2500
```

total magnetic moment: 1.834 μB per atom
space-group type: F-43m
DFT formation energy: -350 meV/atom

# 9
Here is an optimized crystal structure of Cs2PmCu3F12 from Alexandria. Energies are from PBE.

Structure (CIF):
```
data_Cs2PmCu3F12
_chemical_formula_sum 'Cs2 Pm1 Cu3 F12'
_cell_length_a 7.4831
_cell_length_b 7.4831
_cell_length_c 7.4831
_cell_angle_alpha 60.87
_cell_angle_beta 60.87
_cell_angle_gamma 60.87
_symmetry_space_group_name_H-M 'P 1'
_symmetry_Int_Tables_number 1
_symmetry_space_group_name_Hall 'P 1'
loop_
_atom_site_label
_atom_site_fract_x
_atom_site_fract_y
_atom_site_fract_z
Cs1 0.1110 0.1110 0.1110
Cs2 0.8890 0.8890 0.8890
Pm1 0.5000 0.5000 0.5000
Cu1 0.0000 0.5000 0.5000
Cu2 0.5000 0.0000 0.5000
Cu3 0.5000 0.5000 0.0000
F1 0.1321 0.5976 0.5976
F2 0.2054 0.2054 0.5853
F3 0.2054 0.5853 0.2054
F4 0.4024 0.4024 0.8679
F5 0.4024 0.8679 0.4024
F6 0.4147 0.7946 0.7946
F7 0.5853 0.2054 0.2054
F8 0.5976 0.1321 0.5976
F9 0.5976 0.5976 0.1321
F10 0.7946 0.4147 0.7946
F11 0.7946 0.7946 0.4147
F12 0.8679 0.4024 0.4024
```

total magnetic moment: 0.199 μB per atom
space-group type: R-3m
uncorrected formation energy: -2.391 eV per atom

# 10
Here is an optimized crystal structure of Pu3BiPd2 from Alexandria. Energies are from PBE.

Structure (CIF):
```
data_Pu3BiPd2
_chemical_formula_sum 'Pu6 Bi2 Pd4'
_cell_length_a 8.0706
_cell_length_b 8.0706
_cell_length_c 8.0706
_cell_angle_alpha 55.26
_cell_angle_beta 55.26
_cell_angle_gamma 55.26
_symmetry_space_group_name_H-M 'P 1'
_symmetry_Int_Tables_number 1
_symmetry_space_group_name_Hall 'P 1'
loop_
_atom_site_label
_atom_site_fract_x
_atom_site_fract_y
_atom_site_fract_z
Pu1 0.0283 0.7500 0.4717
Pu2 0.2500 0.5283 0.9717
Pu3 0.4717 0.0283 0.7500
Pu4 0.5283 0.9717 0.2500
Pu5 0.7500 0.4717 0.0283
Pu6 0.9717 0.2500 0.5283
Bi1 0.0000 0.0000 0.0000
Bi2 0.5000 0.5000 0.5000
Pd1 0.1461 0.1461 0.1461
Pd2 0.3539 0.3539 0.3539
Pd3 0.6461 0.6461 0.6461
Pd4 0.8539 0.8539 0.8539
```

total magnetic moment: 2.838 μB per atom
space-group type: R-3c
DFT formation energy: -188 meV/atom

# 11
Here is an optimized crystal structure of Pm2TiMoN5 from Alexandria. Energies are from PBE.

Structure (CIF):
```
data_Pm2TiMoN5
_chemical_formula_sum 'Pm4 Ti2 Mo2 N10'
_cell_length_a 6.9079
_cell_length_b 6.9079
_cell_length_c 10.3483
_cell_angle_alpha 90.00
_cell_angle_beta 90.00
_cell_angle_gamma 151.93
_symmetry_space_group_name_H-M 'P 1'
_symmetry_Int_Tables_number 1
_symmetry_space_group_name_Hall 'P 1'
loop_
_atom_site_label
_atom_site_fract_x
_atom_site_fract_y
_atom_site_fract_z
Pm1 0.1116 0.8884 0.5000
Pm2 0.1464 0.8536 0.1151
Pm3 0.8536 0.1464 0.6151
Pm4 0.8884 0.1116 0.0000
Ti1 0.2209 0.7791 0.8324
Ti2 0.7791 0.2209 0.3324
Mo1 0.4630 0.5370 0.2715
Mo2 0.5370 0.4630 0.7715
N1 0.0507 0.9493 0.8629
N2 0.2835 0.7165 0.4639
N3 0.3191 0.6809 0.2009
N4 0.3646 0.6354 0.8179
N5 0.4922 0.5078 0.6009
N6 0.5078 0.4922 0.1009
N7 0.6354 0.3646 0.3179
N8 0.6809 0.3191 0.7009
N9 0.7165 0.2835 0.9639
N10 0.9493 0.0507 0.3629
```

total magnetic moment: 0.000 μB per atom
space-group type: Cmc2_1
uncorrected formation energy: -1.125 eV per atom

# 12
Here is an optimized crystal structure of AlFe2W from Alexandria. Energies are from PBE.

Structure (CIF):
```
data_AlFe2W
_chemical_formula_sum 'Al1 Fe2 W1'
_cell_length_a 4.2059
_cell_length_b 4.2059
_cell_length_c 4.2059
_cell_angle_alpha 60.00
_cell_angle_beta 60.00
_cell_angle_gamma 60.00
_symmetry_space_group_name_H-M 'P 1'
_symmetry_Int_Tables_number 1
_symmetry_space_group_name_Hall 'P 1'
loop_
_atom_site_label
_atom_site_fract_x
_atom_site_fract_y
_atom_site_fract_z
Al1 0.0000 0.0000 0.0000
Fe1 0.2500 0.2500 0.2500
Fe2 0.5000 0.5000 0.5000
W1 0.7500 0.7500 0.7500
```

total magnetic moment: 0.830 μB per atom
space-group type: F-43m
DFT formation energy: 45 meV/atom

> Which value of total magnetic moment does entry 7 give?

0.000 μB per atom